! FeSiSb2 (PBE, optimized geometry); values from VASP
&SYSTEM
  ibrav = 0, nat = 4, ntyp = 3
/
ATOMIC_SPECIES
Fe 55.84 Fe.upf
Si 28.09 Si.upf
Sb 121.76 Sb.upf
CELL_PARAMETERS angstrom
3.1686 0.0000 0.0000
0.0000 3.1686 0.0000
0.0000 0.0000 7.8214
ATOMIC_POSITIONS angstrom
Fe 0.0000 0.0000 0.0000
Si 1.5843 1.5843 6.8469
Sb 0.0000 0.0000 5.0079
Sb 1.5843 1.5843 1.8116
! Formation energy without anion corrections in kJ per mole of atoms: 11.1
! Spin magnetization in Bohr magnetons per cell: 1.04
! V in Å³ per cell: 78.5
! Electronic total energy in eV/atom: -5.42
! Space group: P4mm, No. 99
! Crystal system: tetragonal